(1)
GGA-PBE PrErGaAg, optimized geometry; SG = F-43m; crystal system = cubic; energy above the lowest structure with this stoichiometry = 21.0 meV per atom
1.0
-0.290 -4.692 -2.230
2.081 -0.777 -4.705
4.283 -2.911 -0.502
Er Pr Ga Ag
1 1 1 1
Cartesian
0.000 0.000 0.000 Er
3.037 -4.189 -3.719 Pr
4.555 -6.284 -5.578 Ga
1.518 -2.095 -1.859 Ag

(2)
GGA-PBE Cs2BiPd, optimized geometry; SG = P2_1/m; crystal system = monoclinic; energy above the lowest structure with this stoichiometry = 0.0 meV per atom
1.0
5.236 0.000 0.000
0.000 6.493 -0.457
0.000 0.799 11.305
Pd Cs Bi
2 4 2
Cartesian
1.309 5.064 2.470 Pd
3.927 2.228 8.379 Pd
1.309 1.938 4.361 Cs
3.927 1.672 0.578 Cs
1.309 5.621 10.270 Cs
3.927 5.354 6.487 Cs
3.927 5.068 2.503 Bi
1.309 2.224 8.346 Bi

(3)
GGA-PBE AcPr2Ru, optimized geometry; SG = Pnma; crystal system = orthorhombic; energy above the lowest structure with this stoichiometry = 0.0 meV per atom
1.0
6.629 0.000 0.000
0.000 7.548 0.000
0.000 0.000 10.172
Pr Ac Ru
8 4 4
Cartesian
4.457 6.251 5.805 Pr
4.457 6.251 9.452 Pr
1.143 5.070 4.366 Pr
5.486 2.478 5.805 Pr
2.172 1.296 4.366 Pr
2.172 1.296 0.720 Pr
5.486 2.478 9.452 Pr
1.143 5.070 0.720 Pr
0.992 7.203 7.629 Ac
2.322 3.430 7.629 Ac
5.637 0.344 2.543 Ac
4.307 4.118 2.543 Ac
2.887 6.665 2.543 Ru
3.742 0.883 7.629 Ru
6.201 4.657 7.629 Ru
0.428 2.891 2.543 Ru

Number 1: ΔH_f (0 K) -40.2 kJ/mol of atoms. Number 2: ΔH_f (0 K) -24.6 kJ/mol of atoms. Number 3: ΔH_f (0 K) -15.8 kJ/mol of atoms.